10
Lattice="4.244 0.000 0.000 0.000 4.244 0.000 0.000 0.000 10.908" Properties=species:S:1:pos:R:3 comment="GGA-PBE ErAl2Ag2, relaxed" final_energy_ev_per_cell=-38.36 pbc="T T T"
Er 1.061 1.061 2.718
Er 3.183 3.183 8.190
Al 1.061 1.061 6.951
Al 1.061 3.183 0.000
Al 3.183 1.061 0.000
Al 3.183 3.183 3.957
Ag 1.061 1.061 9.413
Ag 1.061 3.183 5.454
Ag 3.183 1.061 5.454
Ag 3.183 3.183 1.495

9
Lattice="5.951 0.000 0.000 -2.976 5.154 0.000 0.000 0.000 8.394" Properties=species:S:1:pos:R:3 comment="GGA-PBE Nb3InTe5, relaxed" final_energy_ev_per_cell=-50.87 pbc="T T T"
Nb -1.488 2.577 0.000
Nb 2.976 0.000 0.000
Nb 1.488 2.577 0.000
In 0.000 0.000 4.197
Te 0.000 0.000 0.000
Te 0.000 3.436 2.289
Te 0.000 3.436 6.106
Te 2.976 1.718 2.289
Te 2.976 1.718 6.106

8
Lattice="6.980 0.000 0.000 0.000 2.142 5.323 0.000 -2.142 5.323" Properties=species:S:1:pos:R:3 comment="GGA-PBE NdGdAl4Pt2, relaxed" final_energy_ev_per_cell=-44.18 pbc="T T T"
Nd 0.000 0.000 0.000
Gd 3.490 0.000 9.210
Al 1.375 0.000 3.009
Al 2.138 0.000 6.216
Al 4.842 0.000 6.216
Al 5.606 0.000 3.009
Pt 0.000 0.000 7.653
Pt 3.490 0.000 1.547

6
Lattice="-2.156 2.156 8.435 2.156 -2.156 8.435 2.156 2.156 -8.435" Properties=species:S:1:pos:R:3 comment="GGA-PBE NdDyZr2Sb2, relaxed" final_energy_ev_per_cell=-39.54 pbc="T T T"
Nd 0.000 0.000 0.000
Dy 0.000 0.000 5.972
Zr 2.156 0.000 3.026
Zr 0.000 2.156 3.026
Sb 0.000 0.000 9.258
Sb 0.000 0.000 13.654

4
Lattice="0.000 3.400 3.400 3.400 0.000 3.400 3.400 3.400 0.000" Properties=species:S:1:pos:R:3 comment="GGA-PBE LiZrHg2, relaxed" final_energy_ev_per_cell=-11.12 pbc="T T T"
Li 0.000 0.000 0.000
Zr 1.700 1.700 1.700
Hg 3.400 3.400 3.400
Hg 5.100 5.100 5.100

6
Lattice="5.122 0.000 0.000 0.000 5.925 0.000 0.000 0.000 2.942" Properties=species:S:1:pos:R:3 comment="GGA-PBE P2Os, relaxed" final_energy_ev_per_cell=-47.22 pbc="T T T"
P 0.832 0.758 0.000
P 1.729 3.720 1.471
P 3.393 2.205 1.471
P 4.290 5.167 0.000
Os 0.000 2.963 0.000
Os 2.561 0.000 1.471